[1]
Below is a relaxed structure of Ba3BiPb, with properties calculated at the PBEsol level.

a b c (Å): 6.560 6.560 6.560
angles (deg): 90.00 90.00 90.00
Sites, in units of the cell vectors:
Pb: 0.500 0.500 0.500
Bi: 0.000 0.000 0.000
Ba: 0.500 0.000 0.000
Ba: 0.000 0.000 0.500
Ba: 0.000 0.500 0.000

Volume, Å³/f.u.: 282.2
DFT formation energy, meV/atom: -285
Electronic total energy, eV/atom: -3.23
Crystal system: cubic

[2]
Below is a relaxed structure of BaBi2Pb2, with properties calculated at the PBEsol level.

a b c (Å): 4.770 4.770 8.544
angles (deg): 106.21 106.21 90.00
Sites, in units of the cell vectors:
Pb: 0.250 0.750 0.500
Pb: 0.750 0.250 0.500
Ba: 0.000 0.000 0.000
Bi: 0.401 0.401 0.801
Bi: 0.599 0.599 0.199

Volume, Å³/f.u.: 178.6
DFT formation energy, meV/atom: -346
Electronic total energy, eV/atom: -4.09
Crystal system: tetragonal

[3]
Below is a relaxed structure of Ba3Bi6PbSe13, with properties calculated at the PBEsol level.

a b c (Å): 4.254 17.260 18.545
angles (deg): 90.82 90.00 90.00
Sites, in units of the cell vectors:
Se: 0.250 0.892 0.722
Se: 0.750 0.397 0.967
Se: 0.250 0.429 0.513
Se: 0.750 0.980 0.910
Se: 0.750 0.605 0.234
Se: 0.250 0.960 0.412
Se: 0.250 0.189 0.942
Se: 0.750 0.862 0.239
Se: 0.250 0.421 0.173
Se: 0.750 0.040 0.588
Se: 0.250 0.197 0.446
Se: 0.250 0.395 0.766
Se: 0.750 0.375 0.335
Se: 0.750 0.571 0.487
Se: 0.750 0.811 0.058
Se: 0.750 0.803 0.554
Se: 0.750 0.278 0.637
Se: 0.750 0.108 0.278
Se: 0.250 0.020 0.090
Se: 0.250 0.603 0.033
Se: 0.750 0.234 0.125
Se: 0.750 0.579 0.827
Se: 0.250 0.138 0.761
Se: 0.250 0.625 0.665
Se: 0.250 0.766 0.875
Se: 0.250 0.722 0.363
Bi: 0.750 0.327 0.476
Bi: 0.250 0.919 0.577
Bi: 0.750 0.103 0.020
Bi: 0.250 0.491 0.885
Bi: 0.750 0.829 0.383
Bi: 0.250 0.171 0.617
Bi: 0.250 0.311 0.045
Bi: 0.750 0.081 0.423
Bi: 0.250 0.897 0.980
Bi: 0.250 0.673 0.524
Bi: 0.750 0.689 0.955
Bi: 0.750 0.509 0.115
Ba: 0.750 0.268 0.823
Ba: 0.250 0.252 0.267
Ba: 0.750 0.482 0.657
Ba: 0.750 0.748 0.733
Ba: 0.250 0.518 0.343
Ba: 0.250 0.732 0.177
Pb: 0.750 0.014 0.752
Pb: 0.250 0.986 0.248

Volume, Å³/f.u.: 680.7
Electronic total energy, eV/atom: -4.61
ΔE_f (raw), eV per atom: -0.861
Crystal system: monoclinic

[4]
Below is a relaxed structure of BaZnBi2Pb, with properties calculated at the PBEsol level.

a b c (Å): 5.257 5.965 5.965
angles (deg): 90.00 90.00 90.00
Sites, in units of the cell vectors:
Bi: 0.000 0.500 0.000
Bi: 0.000 0.000 0.500
Ba: 0.500 0.500 0.500
Zn: 0.500 0.000 0.000
Pb: 0.000 0.000 0.000

Volume, Å³/f.u.: 187.1
DFT formation energy, meV/atom: 62
Electronic total energy, eV/atom: -3.20
Crystal system: tetragonal